# 1
The following is a DFT calculation (GGA-PBE) of CaInCu2 after structural relaxation.

abc: 4.5760 7.5371 3.7718
angles: 59.41 90.40 127.87
Positions (direct):
Ca (0.5000, 0.0000, 0.5000)
Cu (0.0000, 0.0000, 0.0000)
Cu (0.0000, 0.5000, 0.5000)
In (0.5000, 0.5000, 0.0000)

Summary:
The value obtained for the formation energy from the elements is -0.019 eV/atom. For the density of states at the Fermi level, the calculation gives 1.817 states/eV/f.u.

---

# 2
The following is a DFT calculation (GGA-PBE) of CaIn2Cu9 after structural relaxation.

abc: 5.0843 5.0843 8.6491
angles: 72.91 72.91 60.00
Positions (direct):
Ca (0.0000, 0.0000, 0.0000)
In (0.8598, 0.8598, 0.4206)
In (0.1402, 0.1402, 0.5794)
Cu (0.6664, 0.6664, 0.0007)
Cu (0.3336, 0.3336, 0.9993)
Cu (0.5000, 0.5000, 0.5000)
Cu (0.4142, 0.4142, 0.2525)
Cu (0.9191, 0.4142, 0.2525)
Cu (0.4142, 0.9191, 0.2525)
Cu (0.5858, 0.5858, 0.7475)
Cu (0.5858, 0.0809, 0.7475)
Cu (0.0809, 0.5858, 0.7475)

Summary:
The value obtained for the formation energy from the elements is -0.089 eV/atom. For the energy relative to the lowest polymorph listed for this composition, the calculation gives 8 meV per atom. For the density of states at the Fermi level, the calculation gives 4.483 states/eV/f.u.

---

> Among the records above, which one has the lowest formation energy from the elements?

CaIn2Cu9

---

> Which of these has the lowest formation energy from the elements?

CaIn2Cu9